Record 1
# PmAl2Ga

A relaxed structure of PmAl2Ga (PBE, Alexandria via LeMat-Bulk).

Cell: 4.3471 4.3471 5.8822 Å, 68.31 68.31 60.00°
With the nearest neighbours (Å) after each atom.
Fractional positions:
Ga  0.0000  0.0000  0.0000  6 Al 2.62
Pm  0.5000  0.5000  0.5000  8 Al 3.15-3.42
Al  0.7140  0.7140  0.8579  3 Ga 2.62, 3 Al 2.93
Al  0.2860  0.2860  0.1421  3 Ga 2.62, 3 Al 2.93

Computed properties:
Formation energy   -0.30 eV/atom
Energy above the lowest structure with this stoichiometry   0.1257 eV/atom



Record 2
# OsAu3C

A relaxed structure of OsAu3C (PBE, Alexandria via LeMat-Bulk).

Cell: 4.2890 4.2890 4.2890 Å, 90.00 90.00 90.00°
With the nearest neighbours (Å) after each atom.
Fractional positions:
Au  0.0000  0.5000  0.0000  2 C 2.14
Os  0.5000  0.5000  0.5000  12 Au 3.03
Au  0.0000  0.0000  0.5000  2 C 2.14
Au  0.5000  0.0000  0.0000  2 C 2.14
C  0.0000  0.0000  0.0000  6 Au 2.14

Computed properties:
Formation energy   1.39 eV/atom
Energy above the lowest structure with this stoichiometry   0.0000 eV/atom



Record 3
# PuAl5

A relaxed structure of PuAl5 (PBE, Alexandria via LeMat-Bulk).

Cell: 4.4981 5.5925 5.5925 Å, 65.44 66.29 66.29°
With the nearest neighbours (Å) after each atom.
Fractional positions:
Al  0.1658  0.5771  0.0913  4 Al 2.65-2.94
Al  0.8342  0.4229  0.9087  4 Al 2.65-2.94
Al  0.1658  0.0913  0.5771  4 Al 2.65-2.94
Pu  0.5000  0.0000  0.0000  14 Al 3.02-3.13
Al  0.8342  0.9087  0.4229  4 Al 2.65-2.94
Al  0.5000  0.5000  0.5000  12 Al 3.02-3.17, 2 Pu 3.02

Computed properties:
Formation energy   -0.17 eV/atom



Record 4
# NdSm2Dy6Ho3

A relaxed structure of NdSm2Dy6Ho3 (PBE, Alexandria via LeMat-Bulk).

Cell: 6.1706 6.1706 11.7981 Å, 94.98 94.98 119.96°
With the nearest neighbours (Å) after each atom.
Fractional positions:
Dy  0.4187  0.0851  0.2534  3 Ho 3.53, 6 Dy 3.56-3.57, 2 Sm 3.59, 1 Nd 3.59
Nd  0.0000  0.0000  0.0000  6 Sm 3.56, 6 Dy 3.59
Dy  0.7515  0.7515  0.2533  3 Ho 3.53, 6 Dy 3.56-3.57, 1 Nd 3.59, 2 Sm 3.59
Dy  0.9149  0.5813  0.7466  3 Ho 3.53, 6 Dy 3.56-3.57, 2 Sm 3.59, 1 Nd 3.59
Sm  0.6667  0.3333  0.0000  3 Sm 3.56, 3 Nd 3.56, 6 Dy 3.59
Ho  0.5000  0.5000  0.5000  6 Dy 3.53, 6 Ho 3.56
Ho  0.1668  0.8332  0.5000  6 Dy 3.53, 6 Ho 3.56
Dy  0.2485  0.2485  0.7467  3 Ho 3.53, 6 Dy 3.56-3.57, 1 Nd 3.59, 2 Sm 3.59
Ho  0.8332  0.1668  0.5000  6 Dy 3.53, 6 Ho 3.56
Sm  0.3333  0.6667  0.0000  3 Sm 3.56, 3 Nd 3.56, 6 Dy 3.59
Dy  0.5813  0.9149  0.7466  3 Ho 3.53, 6 Dy 3.56-3.57, 2 Sm 3.59, 1 Nd 3.59
Dy  0.0851  0.4187  0.2534  3 Ho 3.53, 6 Dy 3.56-3.57, 2 Sm 3.59, 1 Nd 3.59

Computed properties:
Formation energy   0.02 eV/atom



Record 5
# PrY2Er3Se6

A relaxed structure of PrY2Er3Se6 (PBE, Alexandria via LeMat-Bulk).

Cell: 4.0661 8.2525 9.1647 Å, 103.60 102.82 90.00°
With the nearest neighbours (Å) after each atom.
Fractional positions:
Y  0.1644  0.3290  0.3289  6 Se 2.86-2.93
Se  0.3269  0.9171  0.6538  3 Er 2.84-2.87, 2 Y 2.90, 1 Pr 3.00
Se  0.0003  0.7359  0.0005  3 Er 2.81-2.82, 1 Y 2.86, 2 Pr 2.98
Se  0.9997  0.2641  0.9995  3 Er 2.81-2.82, 1 Y 2.86, 2 Pr 2.98
Se  0.6731  0.0829  0.3462  3 Er 2.84-2.87, 2 Y 2.90, 1 Pr 3.00
Se  0.6666  0.5861  0.3333  3 Er 2.89, 3 Y 2.93
Er  0.5000  0.5000  0.0000  6 Se 2.81-2.89
Er  0.1629  0.8336  0.3259  6 Se 2.82-2.89
Pr  0.5000  0.0000  0.0000  6 Se 2.98-3.00
Se  0.3334  0.4139  0.6667  3 Er 2.89, 3 Y 2.93
Y  0.8356  0.6710  0.6711  6 Se 2.86-2.93
Er  0.8371  0.1664  0.6741  6 Se 2.82-2.89



Record 6
# PmPaZnTc

A relaxed structure of PmPaZnTc (PBE, Alexandria via LeMat-Bulk).

Cell: 4.9835 4.9835 4.9835 Å, 60.00 60.00 60.00°
With the nearest neighbours (Å) after each atom.
Fractional positions:
Zn  0.0000  0.0000  0.0000  4 Pm 3.05, 4 Pa 3.05
Pa  0.7500  0.7500  0.7500  4 Tc 3.05, 4 Zn 3.05
Tc  0.5000  0.5000  0.5000  4 Pa 3.05, 4 Pm 3.05
Pm  0.2500  0.2500  0.2500  4 Tc 3.05, 4 Zn 3.05

Computed properties:
Formation energy   0.01 eV/atom



Record 7
# Rb5Tl6Bi

A relaxed structure of Rb5Tl6Bi (PBE, Alexandria via LeMat-Bulk).

Cell: 10.0607 7.5369 9.2108 Å, 65.85 79.05 62.33°
With the nearest neighbours (Å) after each atom.
Fractional positions:
Rb  0.5000  0.7976  0.4047  6 Tl 3.72-3.93, 2 Rb 4.09
Tl  0.8153  0.2715  0.6835  1 Bi 3.13, 2 Tl 3.29-3.45
Tl  0.3103  0.0603  0.0000  1 Bi 3.36, 3 Tl 3.45-3.49, 1 Rb 3.74
Rb  0.0000  0.6310  0.7380  8 Tl 3.91-4.15, 2 Bi 4.36
Tl  0.1847  0.0450  0.6835  1 Bi 3.13, 2 Tl 3.29-3.45
Tl  0.6897  0.9397  0.0000  1 Bi 3.36, 3 Tl 3.45-3.49, 1 Rb 3.74
Tl  0.1847  0.7285  0.3165  1 Bi 3.13, 2 Tl 3.29-3.45
Rb  0.0000  0.3690  0.2620  8 Tl 3.91-4.15, 2 Bi 4.36
Rb  0.5000  0.5000  0.0000  6 Tl 3.74-4.13
Tl  0.8153  0.9550  0.3165  1 Bi 3.13, 2 Tl 3.29-3.45
Bi  0.0000  0.0000  0.0000  6 Tl 3.13-3.36
Rb  0.5000  0.2024  0.5953  6 Tl 3.72-3.93, 2 Rb 4.09

Computed properties:
Formation energy   -0.07 eV/atom



Record 8
# B2C

A relaxed structure of B2C (PBE, Alexandria via LeMat-Bulk).

Cell: 2.6513 2.6513 15.2449 Å, 90.00 90.00 120.00°
With the nearest neighbours (Å) after each atom.
Fractional positions:
B  0.6667  0.3333  0.8373  4 B 1.67-1.84
C  0.3333  0.6667  0.1431  1 C 1.51, 3 B 1.66
B  0.3333  0.6667  0.6599  1 C 1.58
C  0.3333  0.6667  0.5563  4 B 1.54-1.58
B  0.6667  0.3333  0.2996  4 B 1.63-1.75
B  0.6667  0.3333  0.1850  3 C 1.66, 1 B 1.75
C  0.0000  0.0000  0.0084  1 B 1.58, 3 C 1.63
B  0.0000  0.0000  0.9048  1 C 1.58
C  0.3333  0.6667  0.0442  4 C 1.51-1.63
B  0.0000  0.0000  0.5482  3 C 1.54
B  0.0000  0.0000  0.3355  3 B 1.63
B  0.6667  0.3333  0.7278  4 B 1.67-1.85

Computed properties:
Formation energy   0.56 eV/atom
Energy above the lowest structure with this stoichiometry   0.3733 eV/atom



Record 9
# Nd9SmDy2

A relaxed structure of Nd9SmDy2 (PBE, Alexandria via LeMat-Bulk).

Cell: 5.1647 5.1647 15.4946 Å, 90.00 90.00 90.00°
With the nearest neighbours (Å) after each atom.
Fractional positions:
Dy  0.0000  0.0000  0.6660  12 Nd 3.64-3.65
Nd  0.0000  0.5000  0.8322  2 Dy 3.65, 8 Nd 3.65-3.66, 2 Sm 3.66
Sm  0.0000  0.0000  0.0000  12 Nd 3.65-3.66
Nd  0.0000  0.5000  0.1678  2 Dy 3.65, 8 Nd 3.65-3.66, 2 Sm 3.66
Nd  0.0000  0.5000  0.5000  8 Nd 3.64-3.65, 4 Dy 3.64
Nd  0.5000  0.5000  0.0000  4 Sm 3.65, 8 Nd 3.66
Nd  0.5000  0.5000  0.3343  8 Nd 3.64-3.65, 4 Dy 3.65
Nd  0.5000  0.0000  0.1678  2 Dy 3.65, 8 Nd 3.65-3.66, 2 Sm 3.66
Nd  0.5000  0.0000  0.5000  8 Nd 3.64-3.65, 4 Dy 3.64
Dy  0.0000  0.0000  0.3340  12 Nd 3.64-3.65
Nd  0.5000  0.5000  0.6657  8 Nd 3.64-3.65, 4 Dy 3.65
Nd  0.5000  0.0000  0.8322  2 Dy 3.65, 8 Nd 3.65-3.66, 2 Sm 3.66

Computed properties:
Formation energy   0.02 eV/atom



Record 10
# Rb2BeSeI6

A relaxed structure of Rb2BeSeI6 (PBE, Alexandria via LeMat-Bulk).

Cell: 8.7310 8.7310 8.4809 Å, 59.02 59.02 90.00°
With the nearest neighbours (Å) after each atom.
Fractional positions:
Rb  0.2500  0.7500  0.5000  12 I 4.25-4.42
I  0.2283  0.2283  0.0000  1 Se 2.82
I  0.7717  0.2283  0.0000  1 Se 2.82
Se  0.0000  0.0000  0.0000  4 I 2.82
I  0.2283  0.7717  0.0000  1 Se 2.82
Be  0.5000  0.5000  0.0000  2 I 2.23
I  0.7717  0.7717  0.0000  1 Se 2.82
Rb  0.7500  0.2500  0.5000  12 I 4.25-4.42
I  0.6921  0.6921  0.6157  1 Be 2.23
I  0.3079  0.3079  0.3843  1 Be 2.23



Record 11
# La2Sn2Sb

A relaxed structure of La2Sn2Sb (PBE, Alexandria via LeMat-Bulk).

Cell: 6.2603 6.2603 6.2684 Å, 60.04 60.04 90.00°
With the nearest neighbours (Å) after each atom.
Fractional positions:
Sb  0.0000  0.0000  0.0000  2 Sn 3.00
La  0.7500  0.2500  0.5000  4 Sn 3.23
La  0.2500  0.7500  0.5000  4 Sn 3.23
Sn  0.6616  0.6616  0.6768  1 Sn 2.87, 1 Sb 3.00
Sn  0.3384  0.3384  0.3232  1 Sn 2.87, 1 Sb 3.00

Computed properties:
Energy above the lowest structure with this stoichiometry   0.3827 eV/atom



Record 12
# CsBi3P

A relaxed structure of CsBi3P (PBE, Alexandria via LeMat-Bulk).

Cell: 6.4142 6.4142 6.4142 Å, 90.00 90.00 90.00°
With the nearest neighbours (Å) after each atom.
Fractional positions:
Bi  0.0000  0.0000  0.5000  2 Cs 3.21
P  0.5000  0.5000  0.5000  12 Bi 4.54
Cs  0.0000  0.0000  0.0000  6 Bi 3.21
Bi  0.0000  0.5000  0.0000  2 Cs 3.21
Bi  0.5000  0.0000  0.0000  2 Cs 3.21

Computed properties:
Formation energy   1.88 eV/atom
Energy above the lowest structure with this stoichiometry   1.6647 eV/atom



| no. | DFT total energy (eV per atom) |
| --- | --- |
| 1 | -4.12 |
| 2 | -4.67 |
| 3 | -5.67 |
| 4 | -4.61 |
| 5 | -6.10 |
| 6 | -6.47 |
| 7 | -1.98 |
| 8 | -6.97 |
| 9 | -4.72 |
| 10 | -2.48 |
| 11 | -4.76 |
| 12 | -1.70 |